DFT (PBE-GGA) results for a relaxed Pm4Tm3Tl2 crystal.

Lattice parameters (Å, degrees): 6.592 9.517 9.517 81.53 76.52 76.52
Atoms (fractional coordinates):
Tm 0.544 0.155 0.070
Tm 0.044 0.070 0.155
Tm 0.250 0.493 0.507
Tm 0.456 0.845 0.930
Tm 0.750 0.507 0.493
Tm 0.956 0.930 0.845
Tl 0.641 0.204 0.368
Tl 0.141 0.368 0.204
Tl 0.859 0.632 0.796
Tl 0.359 0.796 0.632
Pm 0.524 0.166 0.706
Pm 0.650 0.488 0.136
Pm 0.976 0.294 0.834
Pm 0.850 0.864 0.512
Pm 0.024 0.706 0.166
Pm 0.476 0.834 0.294
Pm 0.350 0.512 0.864
Pm 0.150 0.136 0.488

Calculated values
The calculation puts the formation energy at -0.096 eV per atom. Its total moment is 0.00 μB/f.u. The density of states at the Fermi level comes out at 25.1 states/eV per cell.


DFT (PBE-GGA) results for a relaxed PmTm7Tl4 crystal.

Lattice parameters (Å, degrees): 5.721 9.058 7.960 68.96 68.94 71.59
Atoms (fractional coordinates):
Tm 0.797 0.877 0.529
Tm 0.070 0.589 0.270
Tm 0.930 0.411 0.730
Tm 0.742 0.304 0.212
Tm 0.203 0.123 0.471
Tm 0.500 0.000 0.000
Tm 0.258 0.696 0.788
Tl 0.315 0.337 0.034
Tl 0.548 0.287 0.616
Tl 0.685 0.663 0.966
Tl 0.452 0.713 0.384
Pm 0.000 0.000 0.000

Calculated values
The calculation puts the formation energy at 0.014 eV per atom. Its total moment is 0.00 μB/f.u. The density of states at the Fermi level comes out at 12.3 states/eV per cell.


DFT (PBE-GGA) results for a relaxed Pm2Tm2Tl crystal.

Lattice parameters (Å, degrees): 5.470 6.661 9.522 103.91 90.00 114.25
Atoms (fractional coordinates):
Pm 0.841 0.682 0.949
Pm 0.159 0.318 0.051
Pm 0.022 0.045 0.339
Pm 0.978 0.955 0.661
Tm 0.478 0.955 0.157
Tm 0.522 0.045 0.843
Tm 0.352 0.704 0.447
Tm 0.648 0.296 0.553
Tl 0.254 0.508 0.733
Tl 0.746 0.492 0.267

Calculated values
The offset from the most stable computed form is 0 meV per atom. The calculation puts the formation energy at -0.104 eV per atom. Its total moment is 0.00 μB/f.u. The density of states at the Fermi level comes out at 9.2 states/eV per cell.


DFT (PBE-GGA) results for a relaxed Pm12TmTl3 crystal.

Lattice parameters (Å, degrees): 4.970 4.970 20.257 90.00 90.00 90.00
Atoms (fractional coordinates):
Pm 0.500 0.000 0.871
Pm 0.500 0.500 0.253
Pm 0.500 0.500 0.000
Pm 0.500 0.000 0.377
Pm 0.000 0.500 0.623
Pm 0.500 0.500 0.747
Pm 0.500 0.000 0.623
Pm 0.000 0.500 0.129
Pm 0.000 0.500 0.377
Pm 0.500 0.500 0.500
Pm 0.000 0.500 0.871
Pm 0.500 0.000 0.129
Tl 0.000 0.000 0.500
Tl 0.000 0.000 0.256
Tl 0.000 0.000 0.744
Tm 0.000 0.000 0.000

Calculated values
The calculation puts the formation energy at -0.143 eV per atom. Its total moment is 0.00 μB/f.u. The density of states at the Fermi level comes out at 22.7 states/eV per cell.


DFT (PBE-GGA) results for a relaxed Pm3Tm2Tl3 crystal.

Lattice parameters (Å, degrees): 4.410 5.044 11.065 103.18 101.49 90.00
Site moments in Bohr magnetons follow the coordinates.
Atoms (fractional coordinates):
Tl 0.131 0.131 0.262  0.00
Tl 0.000 0.500 0.000  0.00
Tl 0.869 0.869 0.738  0.00
Pm 0.379 0.379 0.759  0.08
Pm 0.500 0.000 0.000  0.14
Pm 0.621 0.621 0.241  0.08
Tm 0.738 0.238 0.475  0.02
Tm 0.262 0.762 0.525  0.02

Calculated values
The calculation puts the formation energy at -0.263 eV per atom. Its total moment is 0.57 μB/f.u. The density of states at the Fermi level comes out at 8.3 states/eV per cell.


DFT (PBE-GGA) results for a relaxed Pm12Tm2Tl crystal.

Lattice parameters (Å, degrees): 6.666 6.666 23.763 90.00 90.00 90.00
Atoms (fractional coordinates):
Pm 0.667 0.167 0.434
Pm 0.000 0.000 0.799
Pm 0.746 0.754 0.094
Pm 0.667 0.833 0.566
Pm 0.833 0.667 0.434
Pm 0.000 0.000 0.672
Pm 0.500 0.500 0.672
Pm 0.000 0.000 0.201
Pm 0.246 0.254 0.906
Pm 0.167 0.333 0.434
Pm 0.246 0.746 0.094
Pm 0.500 0.500 0.799
Pm 0.500 0.500 0.201
Pm 0.746 0.246 0.906
Pm 0.333 0.167 0.566
Pm 0.500 0.500 0.328
Pm 0.833 0.333 0.566
Pm 0.254 0.754 0.906
Pm 0.754 0.746 0.906
Pm 0.333 0.833 0.434
Pm 0.000 0.000 0.328
Pm 0.254 0.246 0.094
Pm 0.167 0.667 0.566
Pm 0.754 0.254 0.094
Tm 0.000 0.500 0.251
Tm 0.000 0.500 0.749
Tm 0.500 0.000 0.251
Tm 0.500 0.000 0.749
Tl 0.000 0.500 0.000
Tl 0.500 0.000 0.000

Calculated values
The calculation puts the formation energy at 0.255 eV per atom. Its total moment is 0.00 μB/f.u. The density of states at the Fermi level comes out at 38.2 states/eV per cell.


DFT (PBE-GGA) results for a relaxed Pm2Tm4Tl crystal.

Lattice parameters (Å, degrees): 10.568 6.499 9.011 136.20 90.00 90.00
Atoms (fractional coordinates):
Tm 0.250 0.653 0.903
Tm 0.156 0.430 0.431
Tm 0.750 0.347 0.097
Tm 0.750 0.847 0.097
Tm 0.250 0.153 0.903
Tm 0.656 0.070 0.569
Tm 0.844 0.570 0.569
Tm 0.344 0.930 0.431
Pm 0.542 0.743 0.742
Pm 0.458 0.257 0.258
Pm 0.042 0.757 0.258
Pm 0.958 0.243 0.742
Tl 0.000 0.000 0.000
Tl 0.500 0.500 0.000

Calculated values
The offset from the most stable computed form is 0 meV per atom. The calculation puts the formation energy at -0.014 eV per atom. Its total moment is 0.00 μB/f.u. The density of states at the Fermi level comes out at 16.8 states/eV per cell.


DFT (PBE-GGA) results for a relaxed Pm5TmTl6 crystal.

Lattice parameters (Å, degrees): 5.465 9.448 9.464 60.05 73.16 54.53
Atoms (fractional coordinates):
Pm 0.500 0.500 0.000
Pm 0.000 0.665 0.670
Pm 0.000 0.335 0.330
Pm 0.500 0.171 0.658
Pm 0.500 0.829 0.342
Tl 0.261 0.239 0.000
Tl 0.756 0.408 0.673
Tl 0.244 0.919 0.673
Tl 0.244 0.592 0.327
Tl 0.739 0.761 0.000
Tl 0.756 0.081 0.327
Tm 0.000 0.000 0.000

Calculated values
The calculation puts the formation energy at -0.370 eV per atom. Its total moment is 0.00 μB/f.u. The density of states at the Fermi level comes out at 9.5 states/eV per cell.


DFT (PBE-GGA) results for a relaxed PmY2TmTl2 crystal.

Lattice parameters (Å, degrees): 5.095 6.917 9.989 90.00 90.00 90.00
Atoms (fractional coordinates):
Y 0.500 0.054 0.048
Y 0.000 0.842 0.815
Y 0.500 0.554 0.952
Y 0.000 0.342 0.185
Tm 0.500 0.174 0.692
Tm 0.500 0.674 0.308
Tl 0.000 0.796 0.132
Tl 0.000 0.296 0.868
Tl 0.500 0.722 0.631
Tl 0.500 0.222 0.369
Pm 0.000 0.457 0.547
Pm 0.000 0.957 0.453

Calculated values
The calculation puts the formation energy at -0.287 eV per atom. Its total moment is 0.00 μB/f.u. The density of states at the Fermi level comes out at 12.5 states/eV per cell.


DFT (PBE-GGA) results for a relaxed PmTmTlZn crystal.

Lattice parameters (Å, degrees): 5.266 5.266 5.266 60.00 60.00 60.00
Atoms (fractional coordinates):
Zn 0.000 0.000 0.000
Tl 0.500 0.500 0.500
Tm 0.750 0.750 0.750
Pm 0.250 0.250 0.250

Calculated values
The offset from the most stable computed form is 32 meV per atom. The calculation puts the formation energy at -0.315 eV per atom. Its total moment is 0.00 μB/f.u. The density of states at the Fermi level comes out at 4.1 states/eV per cell.


DFT (PBE-GGA) results for a relaxed Pm2TmTl2Zn2 crystal.

Lattice parameters (Å, degrees): 4.745 4.745 9.761 75.93 75.93 60.00
Atoms (fractional coordinates):
Tl 0.266 0.266 0.202
Tl 0.734 0.734 0.798
Tm 0.000 0.000 0.000
Pm 0.875 0.875 0.376
Pm 0.125 0.125 0.624
Zn 0.387 0.387 0.838
Zn 0.613 0.613 0.162

Calculated values
The calculation puts the formation energy at -0.162 eV per atom. Its total moment is 0.00 μB/f.u. The density of states at the Fermi level comes out at 3.2 states/eV per cell.


DFT (PBE-GGA) results for a relaxed PmTmTlZn crystal.

Lattice parameters (Å, degrees): 3.682 3.682 7.503 90.00 90.00 90.00
Atoms (fractional coordinates):
Pm 0.000 0.000 0.837
Tl 0.500 0.500 0.122
Zn 0.500 0.500 0.589
Tm 0.000 0.000 0.380

Calculated values
The offset from the most stable computed form is 0 meV per atom. The calculation puts the formation energy at -0.347 eV per atom. Its total moment is 0.00 μB/f.u. The density of states at the Fermi level comes out at 3.4 states/eV per cell.


DFT (PBE-GGA) results for a relaxed PmUTl crystal.

Lattice parameters (Å, degrees): 3.674 5.443 8.575 95.50 102.37 90.00
Site moments in Bohr magnetons follow the coordinates.
Atoms (fractional coordinates):
U 0.756 0.162 0.512  1.32
U 0.244 0.838 0.488  1.32
Tl 0.419 0.205 0.837  -0.01
Tl 0.581 0.795 0.163  -0.01
Pm 0.089 0.292 0.178  0.01
Pm 0.911 0.708 0.822  0.01

Calculated values
The calculation puts the formation energy at 0.009 eV per atom. Its total moment is 1.42 μB/f.u. The density of states at the Fermi level comes out at 10.4 states/eV per cell.


DFT (PBE-GGA) results for a relaxed PmYTl2 crystal.

Lattice parameters (Å, degrees): 5.435 5.434 5.434 60.00 60.00 60.00
Atoms (fractional coordinates):
Tl 0.000 0.000 0.000
Tl 0.500 0.500 0.500
Pm 0.250 0.250 0.250
Y 0.750 0.750 0.750

Calculated values
The calculation puts the formation energy at -0.380 eV per atom. Its total moment is 0.00 μB/f.u. The density of states at the Fermi level comes out at 2.7 states/eV per cell.


DFT (PBE-GGA) results for a relaxed Pm3Y2Tl2 crystal.

Lattice parameters (Å, degrees): 4.994 3.552 12.325 90.00 78.31 90.00
Site moments in Bohr magnetons follow the coordinates.
Atoms (fractional coordinates):
Pm 0.143 0.000 0.715  0.02
Pm 0.857 0.000 0.285  0.02
Pm 0.000 0.000 0.000  0.08
Y 0.713 0.500 0.575  0.00
Y 0.287 0.500 0.425  0.00
Tl 0.573 0.500 0.855  0.00
Tl 0.427 0.500 0.145  0.00

Calculated values
The offset from the most stable computed form is 117 meV per atom. The calculation puts the formation energy at -0.098 eV per atom. Its total moment is 0.19 μB/f.u. The density of states at the Fermi level comes out at 8.3 states/eV per cell.


DFT (PBE-GGA) results for a relaxed PmY6Tl crystal.

Lattice parameters (Å, degrees): 4.933 4.933 10.173 90.00 90.00 90.00
Atoms (fractional coordinates):
Y 0.000 0.500 0.243
Y 0.500 0.000 0.243
Y 0.000 0.500 0.757
Y 0.500 0.500 0.500
Y 0.500 0.000 0.757
Y 0.500 0.500 0.000
Pm 0.000 0.000 0.500
Tl 0.000 0.000 0.000

Calculated values
The offset from the most stable computed form is 0 meV per atom. The calculation puts the formation energy at -0.072 eV per atom. Its total moment is 0.01 μB/f.u. The density of states at the Fermi level comes out at 9.9 states/eV per cell.


DFT (PBE-GGA) results for a relaxed Pm2Y3Tl2 crystal.

Lattice parameters (Å, degrees): 5.479 5.472 8.766 108.25 90.00 120.04
Atoms (fractional coordinates):
Pm 0.077 0.153 0.730
Pm 0.923 0.847 0.270
Y 0.500 0.000 0.000
Y 0.347 0.694 0.541
Y 0.653 0.306 0.459
Tl 0.782 0.564 0.847
Tl 0.218 0.436 0.153

Calculated values
The calculation puts the formation energy at -0.212 eV per atom. Its total moment is 0.00 μB/f.u. The density of states at the Fermi level comes out at 6.4 states/eV per cell.


DFT (PBE-GGA) results for a relaxed Pm5Y4Tl crystal.

Lattice parameters (Å, degrees): 4.185 4.185 18.554 90.00 90.00 90.00
Atoms (fractional coordinates):
Y 0.000 0.000 0.397
Y 0.000 0.000 0.194
Y 0.000 0.000 0.603
Y 0.000 0.000 0.806
Pm 0.500 0.500 0.705
Pm 0.500 0.500 0.911
Pm 0.500 0.500 0.295
Pm 0.500 0.500 0.500
Pm 0.500 0.500 0.089
Tl 0.000 0.000 0.000

Calculated values
The offset from the most stable computed form is 0 meV per atom. The calculation puts the formation energy at 0.012 eV per atom. Its total moment is 0.00 μB/f.u. The density of states at the Fermi level comes out at 18.2 states/eV per cell.


DFT (PBE-GGA) results for a relaxed Pm2Y3Tl crystal.

Lattice parameters (Å, degrees): 4.927 4.905 8.075 107.68 90.00 90.00
Atoms (fractional coordinates):
Y 0.500 0.500 0.000
Y 0.500 0.165 0.331
Y 0.500 0.835 0.669
Pm 0.000 0.663 0.325
Pm 0.000 0.337 0.675
Tl 0.000 0.000 0.000

Calculated values
The calculation puts the formation energy at -0.105 eV per atom. Its total moment is 0.00 μB/f.u. The density of states at the Fermi level comes out at 7.5 states/eV per cell.


DFT (PBE-GGA) results for a relaxed Pm5YTl2 crystal.

Lattice parameters (Å, degrees): 3.694 8.523 8.523 80.22 77.48 77.48
Atoms (fractional coordinates):
Pm 0.638 0.141 0.583
Pm 0.638 0.583 0.141
Pm 0.362 0.417 0.859
Pm 0.362 0.859 0.417
Pm 0.000 0.500 0.500
Tl 0.725 0.775 0.775
Tl 0.275 0.225 0.225
Y 0.000 0.000 0.000

Calculated values
The offset from the most stable computed form is 85 meV per atom. The calculation puts the formation energy at -0.118 eV per atom. Its total moment is 0.00 μB/f.u. The density of states at the Fermi level comes out at 10.6 states/eV per cell.